(1)
A relaxed ReAgIr2 crystal, computed with PBE.

## Properties
* DFT formation energy: 0.355 eV per atom
* energy: -7.900 eV/atom

Geometry as POSCAR:
```
ReAgIr2
1.0
2.8159 -3.8968 0.0000
2.8159 3.8968 0.0000
0.0000 0.0000 2.7682
Re Ag Ir
1 1 2
direct
0.0000 0.0000 0.0000
0.5000 0.5000 0.0000
0.0000 0.5000 0.5000
0.5000 0.0000 0.5000
```

(2)
A relaxed Cs2LiTa2 crystal, computed with PBE.

## Properties
* DFT formation energy: 1.792 eV per atom
* energy: -3.674 eV/atom

Geometry as POSCAR:
```
Cs2LiTa2
1.0
-2.4181 2.4181 8.4177
2.4181 -2.4181 8.4177
2.4181 2.4181 -8.4177
Cs Li Ta
2 1 2
direct
0.2500 0.7500 0.5000
0.7500 0.2500 0.5000
0.0000 0.0000 0.0000
0.4337 0.4337 0.0000
0.5663 0.5663 0.0000
```

(3)
A relaxed Tb3NdY2Te6 crystal, computed with PBE.

## Properties
* energy: -5.532 eV/atom

Geometry as POSCAR:
```
Tb3NdY2Te6
1.0
9.5645 -2.1848 0.0000
9.5645 2.1848 0.0000
-1.9975 0.0000 8.6029
Tb Nd Y Te
3 1 2 6
direct
0.0000 0.0000 0.0000
0.3378 0.3378 0.6668
0.6622 0.6622 0.3332
0.0000 0.0000 0.5000
0.3356 0.3356 0.1704
0.6644 0.6644 0.8296
0.1679 0.1679 0.0831
0.1712 0.1712 0.5858
0.4987 0.4987 0.2421
0.5013 0.5013 0.7579
0.8288 0.8288 0.4142
0.8321 0.8321 0.9169
```

(4)
A relaxed CsRbZnSe2 crystal, computed with PBE.

## Properties
* energy: -2.753 eV/atom

Geometry as POSCAR:
```
CsRbZnSe2
1.0
5.9588 0.0000 0.0000
0.0000 8.3560 0.0000
0.0000 0.0000 7.1982
Cs Rb Zn Se
2 2 2 4
direct
0.2500 0.0000 0.2083
0.7500 0.0000 0.7917
0.2500 0.5000 0.4049
0.7500 0.5000 0.5951
0.0000 0.5000 0.0000
0.5000 0.5000 0.0000
0.2500 0.2889 0.8264
0.2500 0.7111 0.8264
0.7500 0.2889 0.1736
0.7500 0.7111 0.1736
```